Compound: CdTcTeI2
Source: Alexandria
Functional: PBE
Structure: optimized geometry

The space group is P4/mmm (No. 123) and the conventional cell measures 5.716, 5.716 and 5.834 Å, with angles of 90.00, 90.00 and 90.00 degrees. Symmetry generates all atoms from Cd at (0.000, 0.000, 0.000), Tc at (0.500, 0.500, 0.500), Te at (0.000, 0.000, 0.500) and I at (0.000, 0.500, 0.000).

The spin magnetization comes out at 1.0243 μB per atom. The polymorph energy (0 for the lowest one) comes out at 596 meV/atom. Its density of states at the Fermi level is 2.39 states/eV per cell.

***

Compound: Zr2HAuF
Source: Alexandria
Functional: PBE
Structure: optimized geometry

The space group is P4/mmm (No. 123) and the conventional cell measures 4.528, 4.528 and 3.811 Å, with angles of 90.00, 90.00 and 90.00 degrees. Symmetry generates all atoms from Zr at (0.000, 0.500, 0.000), H at (0.000, 0.000, 0.000), Au at (0.000, 0.000, 0.500) and F at (0.500, 0.500, 0.500).

The spin magnetization comes out at 0.0000 μB per atom. The total energy comes out at -27.9 eV per cell. Its density of states at the Fermi level is 4.68 states/eV per cell.